First-principles (PBE) data for a relaxed Ba3PrPd2O6 crystal, as listed in Alexandria via LeMat-Bulk.

a = 6.250 Å, b = 6.250 Å, c = 6.935 Å
α = 90.00°, β = 90.00°, γ = 120.00°
Atoms (fractional coordinates):
1 Ba 0.333 0.667 0.636
2 Ba 0.667 0.333 0.364
3 Ba 0.000 0.000 0.000
4 Pr 0.000 0.000 0.500
5 Pd 0.667 0.333 0.862
6 Pd 0.333 0.667 0.138
7 O 0.658 0.829 0.301
8 O 0.171 0.342 0.301
9 O 0.171 0.829 0.301
10 O 0.829 0.658 0.699
11 O 0.342 0.171 0.699
12 O 0.829 0.171 0.699

**Symmetry**: P-3m1 (164)
**Formation energy from raw total energies**: -1728 meV per atom
**Total moment**: 0.00 μB per formula unit
**Uncorrected energy**: -5.952 eV/atom
**Fermi-level density of states**: 6.964 states/eV/f.u.

=====

First-principles (PBE) data for a relaxed TaAg3O crystal, as listed in Alexandria via LeMat-Bulk.

a = 5.225 Å, b = 5.225 Å, c = 5.225 Å
α = 90.00°, β = 90.00°, γ = 90.00°
Last column: magnetic moment on the atom in μB.
Atoms (fractional coordinates):
1 O 0.500 0.500 0.500  1.19
2 Ag 0.000 0.500 0.000  0.05
3 Ag 0.000 0.000 0.500  0.02
4 Ag 0.500 0.000 0.000  0.06
5 Ta 0.000 0.000 0.000  0.47

**Symmetry**: Pm-3m (221)
**Formation energy from raw total energies**: 1955 meV per atom
**Total moment**: 2.16 μB per formula unit
**Uncorrected energy**: -3.118 eV/atom
**Fermi-level density of states**: 8.256 states/eV/f.u.
**ΔE to the lowest computed polymorph**: 1135 meV/atom

=====

First-principles (PBE) data for a relaxed Tl4In5Bi crystal, as listed in Alexandria via LeMat-Bulk.

a = 4.072 Å, b = 4.072 Å, c = 17.874 Å
α = 90.00°, β = 90.00°, γ = 90.00°
Atoms (fractional coordinates):
1 Tl 0.000 0.000 0.201
2 Tl 0.000 0.000 0.402
3 Tl 0.000 0.000 0.598
4 Tl 0.000 0.000 0.799
5 In 0.500 0.500 0.097
6 In 0.500 0.500 0.302
7 In 0.500 0.500 0.500
8 In 0.500 0.500 0.698
9 In 0.500 0.500 0.903
10 Bi 0.000 0.000 0.000

**Symmetry**: P4/mmm (123)
**Total moment**: 0.00 μB per formula unit
**Uncorrected energy**: -2.672 eV/atom
**Fermi-level density of states**: 4.056 states/eV/f.u.
**Energy relative to the elements**: 0.313 eV/f.u.